Entry from Alexandria via LeMat-Bulk: a relaxed MgCoNi2 crystal (GGA-PBE).

The space group is Cm (No. 8) and the conventional cell measures 8.567, 2.609 and 4.474 Å, with angles of 90.00, 100.97 and 90.00 degrees. The distinct sites, in fractional coordinates, are Mg at (0.000, 0.000, 0.000), Co at (0.262, 0.500, 0.299), Ni at (0.002, 0.500, 0.497) and Ni at (0.243, 0.000, 0.757).

The energy of formation is 0.0281 eV/atom. The value obtained for the density of states at the Fermi level is 4.22 states/eV/f.u. Its crystal system is monoclinic.